VASP calculation (PBE) on an optimized crystal structure of LaHoAlIr2.

Cell lengths 5.6602, 5.6602, 5.6602 Å; angles 136.92, 117.52, 78.91 degrees
Positions (direct):
1 La 0.0000 0.0000 0.0000
2 Ho 0.6027 0.6027 0.0000
3 Al 0.3014 0.8014 0.5000
4 Ir 0.0434 0.3003 0.7432
5 Ir 0.5571 0.3003 0.2568

Computed properties:
energy	-35.280	eV/cell